1.
VASP calculation (SCAN) on a PBEsol-optimized structure of Sr2LiHg.

```
Sr2LiHg
1.0
3.995 0.000 0.000
0.000 3.995 0.000
0.000 0.000 8.249
Sr Hg Li
2 1 1
Cartesian
0.000 0.000 1.873 Sr
0.000 0.000 6.376 Sr
1.997 1.997 0.000 Hg
1.997 1.997 4.125 Li
```

Computed properties:
The value obtained for the total DFT energy (no corrections) is -29.15 eV per atom. The calculation puts the total magnetization at 0.21 Bohr magnetons per cell.

2.
VASP calculation (SCAN) on a PBEsol-optimized structure of Sr2LiHg2.

```
Sr2LiHg2
1.0
4.341 0.000 0.000
0.000 4.341 0.000
-2.170 -2.170 9.158
Sr Hg Li
2 2 1
Cartesian
0.000 0.000 7.081 Sr
2.170 2.170 2.077 Sr
2.170 0.000 4.579 Hg
0.000 2.170 4.579 Hg
0.000 0.000 0.000 Li
```

Computed properties:
The calculation puts the total magnetization at 0.00 Bohr magnetons per cell. The distance to the lowest polymorph of the same formula comes out at 297 meV/atom.

3.
VASP calculation (SCAN) on a PBEsol-optimized structure of Sr2LiHg.

```
Sr2LiHg
1.0
3.915 0.000 0.000
0.000 3.915 0.000
0.000 0.000 8.492
Sr Hg Li
2 1 1
Cartesian
0.000 0.000 8.003 Sr
1.958 1.958 2.729 Sr
0.000 0.000 4.664 Hg
1.958 1.958 5.835 Li
```

Computed properties:
The value obtained for the total DFT energy (no corrections) is -29.09 eV per atom. The calculation puts the total magnetization at 0.06 Bohr magnetons per cell.

4.
VASP calculation (SCAN) on a PBEsol-optimized structure of Sr2LiHg.

```
Sr2LiHg
1.0
-5.216 -1.059 -1.143
-1.449 -4.937 -1.777
-2.873 -3.317 3.221
Sr Hg Li
2 1 1
Cartesian
-7.154 -6.985 0.226 Sr
0.000 0.000 0.000 Sr
-4.770 -4.656 0.151 Hg
-2.385 -2.328 0.075 Li
```

Computed properties:
The value obtained for the total DFT energy (no corrections) is -28.97 eV per atom. The calculation puts the total magnetization at 0.00 Bohr magnetons per cell.

5.
VASP calculation (SCAN) on a PBEsol-optimized structure of Sr2LiHg.

```
Sr2LiHg
1.0
-3.177 -2.240 -0.643
3.041 -3.384 -3.237
1.429 -0.470 6.650
Sr Li Hg
2 1 1
Cartesian
-0.804 -3.011 2.392 Sr
1.277 -6.054 2.712 Sr
2.049 -2.967 0.212 Li
-0.003 -2.968 -1.716 Hg
```

Computed properties:
The value obtained for the total DFT energy (no corrections) is -29.09 eV per atom. The calculation puts the total magnetization at 0.07 Bohr magnetons per cell.

6.
VASP calculation (SCAN) on a PBEsol-optimized structure of Sr2Li2Hg.

```
Sr2Li2Hg
1.0
3.983 0.000 0.000
0.000 3.983 0.000
-1.992 -1.992 9.823
Hg Li Sr
1 2 2
Cartesian
0.000 0.000 0.000 Hg
1.992 0.000 4.911 Li
0.000 1.992 4.911 Li
1.992 1.992 1.874 Sr
0.000 0.000 7.949 Sr
```

Computed properties:
The value obtained for the total DFT energy (no corrections) is -23.74 eV per atom. The calculation puts the total magnetization at 0.28 Bohr magnetons per cell.

7.
VASP calculation (SCAN) on a PBEsol-optimized structure of Sr2LiHg.

```
Sr2LiHg
1.0
4.812 0.000 0.000
0.000 4.812 0.000
-2.406 -2.406 5.577
Hg Li Sr
1 1 2
Cartesian
2.406 2.406 0.000 Hg
0.000 2.406 2.788 Li
2.406 0.000 2.788 Sr
0.000 0.000 0.000 Sr
```

Computed properties:
The value obtained for the total DFT energy (no corrections) is -28.99 eV per atom. The calculation puts the total magnetization at 0.04 Bohr magnetons per cell.

8.
VASP calculation (SCAN) on a PBEsol-optimized structure of SrLiHg2.

```
SrLiHg2
1.0
4.723 0.000 0.000
-2.361 4.115 -0.068
0.000 -2.639 5.321
Li Sr Hg
1 1 2
Cartesian
0.000 2.781 1.690 Li
0.000 0.075 3.870 Sr
0.000 0.009 0.584 Hg
2.361 1.407 1.702 Hg
```

Computed properties:
The value obtained for the total DFT energy (no corrections) is -40.76 eV per atom. The calculation puts the total magnetization at 0.00 Bohr magnetons per cell.

9.
VASP calculation (SCAN) on a PBEsol-optimized structure of SrLiHg3.

```
SrLiHg3
1.0
6.009 0.000 0.000
0.000 6.009 0.000
0.000 0.000 6.009
Hg Li Sr
3 1 1
Cartesian
3.005 0.000 0.000 Hg
0.000 0.000 3.005 Hg
0.000 3.005 0.000 Hg
3.005 3.005 3.005 Li
0.000 0.000 0.000 Sr
```

Computed properties:
The value obtained for the total DFT energy (no corrections) is -45.64 eV per atom. The calculation puts the total magnetization at 0.00 Bohr magnetons per cell.

10.
VASP calculation (SCAN) on a PBEsol-optimized structure of Sr2LiHg2.

```
Sr2LiHg2
1.0
-2.802 3.536 0.542
-3.257 -1.439 -7.444
-5.621 -4.979 3.422
Sr Hg Li
4 4 2
Cartesian
-5.693 -1.793 1.311 Sr
-5.987 -1.090 -4.791 Sr
-3.424 0.458 -1.637 Sr
-8.256 -3.340 -1.843 Sr
-2.494 -2.015 0.255 Hg
-6.384 -4.403 -4.278 Hg
-2.818 -1.579 -4.261 Hg
-6.060 -4.839 0.238 Hg
-4.439 -3.209 -2.011 Li
0.000 0.000 0.000 Li
```

Computed properties:
The calculation puts the total magnetization at 0.00 Bohr magnetons per cell. The distance to the lowest polymorph of the same formula comes out at 0 meV/atom.

11.
VASP calculation (SCAN) on a PBEsol-optimized structure of SrLiZn2Hg.

```
SrLiZn2Hg
1.0
-1.023 0.682 4.847
-0.077 -4.933 0.678
4.874 0.064 1.019
Zn Hg Li Sr
2 1 1 1
Cartesian
2.437 0.032 0.510 Zn
-0.039 -2.467 0.339 Zn
0.000 0.000 0.000 Hg
-0.511 0.341 2.423 Li
1.887 -2.094 3.272 Sr
```

Computed properties:
The value obtained for the total DFT energy (no corrections) is -24.09 eV per atom. The calculation puts the total magnetization at 0.00 Bohr magnetons per cell.

12.
VASP calculation (SCAN) on a PBEsol-optimized structure of LiTaHg2.

```
LiTaHg2
1.0
-0.956 0.477 2.730
-3.913 -2.023 -1.016
2.182 -5.045 1.645
Ta Li Hg
1 1 2
Cartesian
-0.719 -4.739 2.150 Ta
1.017 -2.351 0.767 Li
2.081 -4.811 1.569 Hg
-1.792 -2.259 1.341 Hg
```

Computed properties:
The calculation puts the total magnetization at 0.00 Bohr magnetons per cell. The distance to the lowest polymorph of the same formula comes out at 107 meV/atom.

13.
VASP calculation (SCAN) on a PBEsol-optimized structure of LiTaHg2.

```
LiTaHg2
1.0
-1.672 0.166 -2.438
1.522 -2.240 -1.198
-5.273 -5.324 3.254
Hg Ta Li
2 1 1
Cartesian
-3.832 -4.830 0.500 Hg
-0.047 -0.048 0.029 Hg
-1.483 -2.458 -0.950 Ta
-2.698 -2.724 1.665 Li
```

Computed properties:
The calculation puts the total magnetization at 0.00 Bohr magnetons per cell. The distance to the lowest polymorph of the same formula comes out at 116 meV/atom.

14.
VASP calculation (SCAN) on a PBEsol-optimized structure of LiTa2Hg.

```
LiTa2Hg
1.0
2.824 0.002 0.000
-0.893 4.917 0.000
0.000 0.000 4.999
Li Ta Hg
1 2 1
Cartesian
1.412 0.001 2.500 Li
1.407 3.726 0.000 Ta
0.524 1.193 0.000 Ta
-0.447 2.458 2.500 Hg
```

Computed properties:
The value obtained for the total DFT energy (no corrections) is -50.68 eV per atom. The calculation puts the total magnetization at 0.00 Bohr magnetons per cell.

15.
VASP calculation (SCAN) on a PBEsol-optimized structure of LiTaHg.

```
LiTaHg
1.0
-0.191 2.549 1.355
-0.051 -2.457 1.527
7.469 0.231 0.622
Hg Ta Li
1 1 1
Cartesian
7.389 0.228 0.615 Hg
2.352 0.958 1.620 Ta
4.954 -0.632 1.890 Li
```

Computed properties:
The value obtained for the total DFT energy (no corrections) is -45.44 eV per atom. The calculation puts the total magnetization at 0.00 Bohr magnetons per cell.